Record 1
The following is a DFT calculation (SCAN) of a PBEsol-optimized structure of Zr2InAu2.

Computed properties:
- energy of formation from the pure elements (eV/f.u.) = -3.92
- theoretical density (g/cm³) = 11.63
- energy (hartree per atom) = -1.7420
- symmetry = P4_2/mnm, No. 136
- ΔE to the lowest computed polymorph (meV per atom) = 0.0

Cell: 7.0161 7.5020 7.5020 Å, 90.00 90.00 90.00°
Sites, in units of the cell vectors:
In 0.7500 0.5000 0.0000
In 0.2500 0.5000 0.0000
In 0.7500 0.0000 0.5000
In 0.2500 0.0000 0.5000
Zr 0.5000 0.3540 0.6460
Zr 0.0000 0.8540 0.8540
Zr 0.0000 0.6973 0.3027
Zr 0.0000 0.3027 0.6973
Zr 0.5000 0.8027 0.8027
Zr 0.5000 0.6460 0.3540
Zr 0.0000 0.1460 0.1460
Zr 0.5000 0.1973 0.1973
Au 0.2965 0.1292 0.8708
Au 0.7965 0.3708 0.3708
Au 0.7965 0.6292 0.6292
Au 0.2965 0.8708 0.1292
Au 0.2035 0.6292 0.6292
Au 0.7035 0.1292 0.8708
Au 0.2035 0.3708 0.3708
Au 0.7035 0.8708 0.1292

Record 2
The following is a DFT calculation (SCAN) of a PBEsol-optimized structure of Zr2InAu.

Computed properties:
- energy of formation from the pure elements (eV/f.u.) = -2.26
- theoretical density (g/cm³) = 10.29
- energy (hartree per atom) = -1.5269
- symmetry = Cmmm, No. 65

Cell: 3.1573 5.1674 5.1674 Å, 108.89 90.00 90.00°
Sites, in units of the cell vectors:
In 0.5000 0.5000 0.5000
Zr 0.0000 0.0000 0.5000
Zr 0.0000 0.5000 0.0000
Au 0.5000 0.0000 0.0000